## LuBiPt2 (GGA-PBE)

Data for a relaxed structure of LuBiPt2.

E, eV/atom: -5.91
Crystal system: tetragonal

Lattice parameters (Å, degrees): 3.584 3.584 6.526 90.00 90.00 90.00
Sites, in units of the cell vectors:
Pt  0.000  0.000  0.781
Lu  0.500  0.500  0.000
Bi  0.500  0.500  0.500
Pt  0.000  0.000  0.219